Below is ScCr2As after structural relaxation, with properties calculated at the PBEsol level.

Lattice parameters (Å, degrees): 4.6218 4.6218 4.5305 101.49 101.49 38.54
Atoms (fractional coordinates):
Sc1 0.0000 0.0000 0.0000
Cr1 0.2394 0.2394 0.6718
Cr2 0.7606 0.7606 0.3282
As1 0.5000 0.5000 0.5000

Results
N(E_F): 0.600 states/eV/atom
ΔH_f (0 K): -0.079 eV per atom
calculated density: 6.31 Mg/m³